Record 1
Compound: Li3Pm3Ga8
Source: Alexandria via LeMat-Bulk
Functional: PBE
Structure: relaxed

a b c (Å): 8.4558 8.4558 8.4558
angles (deg): 150.31 110.46 77.39
Sites, in units of the cell vectors:
Li 0.0000 0.0000 0.0000
Li 0.1994 0.5000 0.6994
Li 0.8006 0.5000 0.3006
Pm 0.2008 0.7008 0.5000
Pm 0.5000 0.0000 0.5000
Pm 0.7992 0.2992 0.5000
Ga 0.0763 0.8587 0.2176
Ga 0.2092 0.3441 0.8650
Ga 0.3589 0.1413 0.2176
Ga 0.4791 0.3441 0.1350
Ga 0.5209 0.6559 0.8650
Ga 0.6411 0.8587 0.7824
Ga 0.7908 0.6559 0.1350
Ga 0.9237 0.1413 0.7824

Calculated values
The value obtained for the calculated total energy is -3.6854 eV per atom. The calculation puts the formation energy from the elements at -0.528 eV per atom.

Record 2
Compound: LiPm4Ga3
Source: Alexandria via LeMat-Bulk
Functional: PBE
Structure: relaxed

a b c (Å): 5.1570 5.1570 15.0447
angles (deg): 90.00 90.00 90.00
Sites, in units of the cell vectors:
Li 0.0000 0.0000 0.0000
Li 0.5000 0.5000 0.5000
Pm 0.0000 0.5000 0.1283
Pm 0.0000 0.5000 0.3717
Pm 0.0000 0.5000 0.6283
Pm 0.0000 0.5000 0.8717
Pm 0.5000 0.0000 0.1283
Pm 0.5000 0.0000 0.3717
Pm 0.5000 0.0000 0.6283
Pm 0.5000 0.0000 0.8717
Ga 0.0000 0.0000 0.2465
Ga 0.0000 0.0000 0.5000
Ga 0.0000 0.0000 0.7535
Ga 0.5000 0.5000 0.0000
Ga 0.5000 0.5000 0.2535
Ga 0.5000 0.5000 0.7465

Calculated values
The value obtained for the calculated total energy is -4.1951 eV per atom. The energy above the lowest structure with this stoichiometry is 0.000 eV per formula unit. The calculation puts the formation energy from the elements at -0.446 eV per atom.

Record 3
Compound: LiPm3Ga2
Source: Alexandria via LeMat-Bulk
Functional: PBE
Structure: relaxed

a b c (Å): 3.6648 3.6648 11.4299
angles (deg): 90.00 90.00 90.00
Sites, in units of the cell vectors:
Li 0.0000 0.0000 0.0000
Pm 0.5000 0.5000 0.1831
Pm 0.5000 0.5000 0.5000
Pm 0.5000 0.5000 0.8169
Ga 0.0000 0.0000 0.3324
Ga 0.0000 0.0000 0.6676

Calculated values
The value obtained for the calculated total energy is -4.0687 eV per atom. The energy above the lowest structure with this stoichiometry is 0.178 eV per formula unit. The calculation puts the formation energy from the elements at -0.365 eV per atom.

Record 4
Compound: Li3Pm4Ga4
Source: Alexandria via LeMat-Bulk
Functional: PBE
Structure: relaxed

a b c (Å): 9.3105 9.3105 9.3105
angles (deg): 157.60 117.61 67.16
Sites, in units of the cell vectors:
Li 0.0000 0.0000 0.0000
Li 0.3931 0.8931 0.5000
Li 0.6069 0.1069 0.5000
Pm 0.0230 0.3430 0.6800
Pm 0.3371 0.6570 0.6800
Pm 0.6629 0.3430 0.3200
Pm 0.9770 0.6570 0.3200
Ga 0.2704 0.2704 0.0000
Ga 0.3630 0.5000 0.8630
Ga 0.6370 0.5000 0.1370
Ga 0.7296 0.7296 0.0000

Calculated values
The value obtained for the calculated total energy is -3.5381 eV per atom. The calculation puts the formation energy from the elements at -0.188 eV per atom.

Record 5
Compound: LiPm2Ga3
Source: Alexandria via LeMat-Bulk
Functional: PBE
Structure: relaxed

a b c (Å): 9.0623 8.6849 5.8662
angles (deg): 74.22 67.25 38.53
Sites, in units of the cell vectors:
Li 0.1683 0.1683 0.8317
Li 0.8317 0.8317 0.1683
Pm 0.2447 0.7553 0.7553
Pm 0.2500 0.2500 0.2500
Pm 0.7500 0.7500 0.7500
Pm 0.7553 0.2447 0.2447
Ga 0.1685 0.6639 0.3361
Ga 0.3339 0.3339 0.6661
Ga 0.3361 0.8315 0.1685
Ga 0.6639 0.1685 0.8315
Ga 0.6661 0.6661 0.3339
Ga 0.8315 0.3361 0.6639

Calculated values
The value obtained for the calculated total energy is -3.9659 eV per atom. The calculation puts the formation energy from the elements at -0.550 eV per atom.

Record 6
Compound: LiPmGa4
Source: Alexandria via LeMat-Bulk
Functional: PBE
Structure: relaxed

a b c (Å): 5.5103 5.5103 5.5103
angles (deg): 60.00 60.00 60.00
Sites, in units of the cell vectors:
Li 0.0000 0.0000 0.0000
Pm 0.2500 0.2500 0.2500
Ga 0.1251 0.6250 0.6250
Ga 0.6250 0.1251 0.6250
Ga 0.6250 0.6250 0.1251
Ga 0.6250 0.6250 0.6250

Calculated values
The value obtained for the calculated total energy is -3.4984 eV per atom. The energy above the lowest structure with this stoichiometry is 0.758 eV per formula unit. The calculation puts the formation energy from the elements at -0.370 eV per atom.

Q: The lowest calculated total energy belongs to which entry?
A: LiPm4Ga3